[1]
Entry from Alexandria via LeMat-Bulk: an optimized crystal structure of TaCrAs2Au (GGA-PBE).

Formation energy from the elements ... 1.91 eV per atom
Calculated total energy ... -4.8982 eV per atom
Volume ... 24.163 Å³ per atom

The structure in POSCAR format:
```
TaCrAs2Au
1.0
4.861 0.000 0.000
0.000 4.861 0.000
0.000 0.000 5.114
Ta Cr As Au
1 1 2 1
direct
0.000 0.000 0.000 Ta
0.500 0.500 0.000 Cr
0.000 0.500 0.500 As
0.500 0.000 0.500 As
0.000 0.000 0.500 Au
```

[2]
Entry from Alexandria via LeMat-Bulk: an optimized crystal structure of TcRu (GGA-PBE).

Formation energy from the elements ... -0.05 eV per atom
Calculated total energy ... -9.8707 eV per atom
Energy above the most stable polymorph in this dataset ... 17.1 meV per atom
Volume ... 14.196 Å³ per atom

The structure in POSCAR format:
```
TcRu
1.0
9.919 0.000 0.000
0.000 2.744 0.000
-1.515 0.000 6.258
Tc Ru
6 6
direct
0.000 0.000 0.000 Tc
0.056 0.000 0.614 Tc
0.386 0.000 0.281 Tc
0.500 0.500 0.000 Tc
0.556 0.500 0.614 Tc
0.886 0.500 0.281 Tc
0.166 0.500 0.335 Ru
0.223 0.500 0.945 Ru
0.333 0.000 0.669 Ru
0.666 0.000 0.335 Ru
0.723 0.000 0.945 Ru
0.833 0.500 0.669 Ru
```

[3]
Entry from Alexandria via LeMat-Bulk: an optimized crystal structure of K3SbF6 (GGA-PBE).

Calculated total energy ... -4.4517 eV per atom
Formation energy without anion corrections ... -2.587 eV per atom
Volume ... 20.993 Å³ per atom

The structure in POSCAR format:
```
K3SbF6
1.0
3.334 1.925 5.452
-3.334 1.925 5.452
0.000 -3.850 5.452
K Sb F
3 1 6
direct
0.000 0.000 0.000 K
0.250 0.250 0.250 K
0.750 0.750 0.750 K
0.500 0.500 0.500 Sb
0.267 0.267 0.733 F
0.267 0.733 0.267 F
0.267 0.733 0.733 F
0.733 0.267 0.267 F
0.733 0.267 0.733 F
0.733 0.733 0.267 F
```

[4]
Entry from Alexandria via LeMat-Bulk: an optimized crystal structure of LiYIr2 (GGA-PBE).

Formation energy from the elements ... -0.28 eV per atom
Calculated total energy ... -6.8057 eV per atom
Volume ... 16.693 Å³ per atom

The structure in POSCAR format:
```
LiYIr2
1.0
3.275 0.000 0.000
0.000 3.275 0.000
0.000 0.000 6.226
Li Y Ir
1 1 2
direct
0.000 0.000 0.000 Li
0.000 0.000 0.500 Y
0.500 0.500 0.215 Ir
0.500 0.500 0.785 Ir
```

[5]
Entry from Alexandria via LeMat-Bulk: an optimized crystal structure of ZnCr2In (GGA-PBE).

Formation energy from the elements ... 0.35 eV per atom
Calculated total energy ... -5.4648 eV per atom
Volume ... 16.415 Å³ per atom

The structure in POSCAR format:
```
ZnCr2In
1.0
3.197 0.000 0.000
0.000 3.197 0.000
0.000 0.000 6.425
Zn Cr In
1 2 1
direct
0.000 0.000 0.000 Zn
0.500 0.500 0.227 Cr
0.500 0.500 0.773 Cr
0.000 0.000 0.500 In
```

[6]
Entry from Alexandria via LeMat-Bulk: an optimized crystal structure of Tm7Al2Ag2 (GGA-PBE).

Formation energy from the elements ... 0.03 eV per atom
Calculated total energy ... -4.0190 eV per atom
Volume ... 27.653 Å³ per atom

The structure in POSCAR format:
```
Tm7Al2Ag2
1.0
3.866 -5.401 0.000
3.866 5.401 0.000
0.000 0.000 7.284
Tm Al Ag
7 2 2
direct
0.000 0.000 0.000 Tm
0.000 0.500 0.279 Tm
0.000 0.500 0.721 Tm
0.500 0.000 0.279 Tm
0.500 0.000 0.721 Tm
0.500 0.500 0.266 Tm
0.500 0.500 0.734 Tm
0.169 0.169 0.500 Al
0.831 0.831 0.500 Al
0.294 0.706 0.000 Ag
0.706 0.294 0.000 Ag
```

[7]
Entry from Alexandria via LeMat-Bulk: an optimized crystal structure of MnBHCl2 (GGA-PBE).

Calculated total energy ... -4.0297 eV per atom
Energy above the most stable polymorph in this dataset ... 0.0 meV per atom
Volume ... 17.141 Å³ per atom

The structure in POSCAR format:
```
MnBHCl2
1.0
4.973 0.000 0.000
0.000 4.973 0.000
0.000 0.000 3.466
Mn B H Cl
1 1 1 2
direct
0.000 0.000 0.000 Mn
0.500 0.500 0.500 B
0.000 0.000 0.500 H
0.000 0.500 0.000 Cl
0.500 0.000 0.000 Cl
```

[8]
Entry from Alexandria via LeMat-Bulk: an optimized crystal structure of ZnAgW2 (GGA-PBE).

Formation energy from the elements ... 0.41 eV per atom
Calculated total energy ... -7.1016 eV per atom
Volume ... 16.473 Å³ per atom

The structure in POSCAR format:
```
ZnAgW2
1.0
3.273 0.000 0.000
0.000 3.273 0.000
0.000 0.000 6.150
Zn Ag W
1 1 2
direct
0.000 0.000 0.000 Zn
0.500 0.500 0.226 Ag
0.000 0.000 0.533 W
0.500 0.500 0.733 W
```